(1)
# PBE-GGA NdHfO3, relaxed
data_NdHfO3
_chemical_formula_sum 'Nd4 Hf4 O12'
_symmetry_space_group_name_H-M 'P 1'
_symmetry_Int_Tables_number 1
_symmetry_space_group_name_Hall 'P 1'
_cell_length_a 6.0191
_cell_length_b 7.5886
_cell_length_c 6.1408
_cell_angle_alpha 90.00
_cell_angle_beta 90.00
_cell_angle_gamma 90.00
loop_
_atom_site_label
_atom_site_fract_x
_atom_site_fract_y
_atom_site_fract_z
_atom_site_occupancy
Nd1 0.0000 0.0000 0.0000 1
Nd2 0.0000 0.5000 0.0000 1
Nd3 0.5000 0.0000 0.5000 1
Nd4 0.5000 0.5000 0.5000 1
Hf1 0.0152 0.2500 0.4771 1
Hf2 0.4848 0.7500 0.9771 1
Hf3 0.5152 0.2500 0.0229 1
Hf4 0.9848 0.7500 0.5229 1
O1 0.1362 0.5565 0.3576 1
O2 0.1362 0.9435 0.3576 1
O3 0.1741 0.7500 0.7866 1
O4 0.3259 0.2500 0.2866 1
O5 0.3638 0.0565 0.8576 1
O6 0.3638 0.4435 0.8576 1
O7 0.6362 0.5565 0.1424 1
O8 0.6362 0.9435 0.1424 1
O9 0.6741 0.7500 0.7134 1
O10 0.8259 0.2500 0.2134 1
O11 0.8638 0.0565 0.6424 1
O12 0.8638 0.4435 0.6424 1
# Uncorrected energy (eV per atom): -8.88
# Magnetization (μB per formula unit): 0.002

=====

(2)
# PBE-GGA ScCoGeOs, relaxed
data_ScCoGeOs
_chemical_formula_sum 'Sc4 Co4 Ge4 Os4'
_symmetry_space_group_name_H-M 'P 1'
_symmetry_Int_Tables_number 1
_symmetry_space_group_name_Hall 'P 1'
_cell_length_a 6.2399
_cell_length_b 6.2399
_cell_length_c 6.2399
_cell_angle_alpha 90.00
_cell_angle_beta 90.00
_cell_angle_gamma 90.00
loop_
_atom_site_label
_atom_site_fract_x
_atom_site_fract_y
_atom_site_fract_z
_atom_site_occupancy
Sc1 0.0000 0.0000 0.0000 1
Sc2 0.0000 0.5000 0.5000 1
Sc3 0.5000 0.0000 0.5000 1
Sc4 0.5000 0.5000 0.0000 1
Co1 0.0000 0.0000 0.5000 1
Co2 0.0000 0.5000 0.0000 1
Co3 0.5000 0.0000 0.0000 1
Co4 0.5000 0.5000 0.5000 1
Ge1 0.2500 0.2500 0.2500 1
Ge2 0.2500 0.7500 0.7500 1
Ge3 0.7500 0.2500 0.7500 1
Ge4 0.7500 0.7500 0.2500 1
Os1 0.2500 0.2500 0.7500 1
Os2 0.2500 0.7500 0.2500 1
Os3 0.7500 0.2500 0.2500 1
Os4 0.7500 0.7500 0.7500 1
# Magnetization (μB per formula unit): 2.791
# Excess energy over the best structure of this formula in the dataset (meV/atom): 409

=====

(3)
# PBE-GGA Cs2MoBr6, relaxed
data_Cs2MoBr6
_chemical_formula_sum 'Cs2 Mo1 Br6'
_symmetry_space_group_name_H-M 'P 1'
_symmetry_Int_Tables_number 1
_symmetry_space_group_name_Hall 'P 1'
_cell_length_a 7.5702
_cell_length_b 7.5702
_cell_length_c 7.5702
_cell_angle_alpha 116.35
_cell_angle_beta 116.35
_cell_angle_gamma 96.45
loop_
_atom_site_label
_atom_site_fract_x
_atom_site_fract_y
_atom_site_fract_z
_atom_site_occupancy
Cs1 0.2500 0.7500 0.5000 1
Cs2 0.7500 0.2500 0.5000 1
Mo1 0.0000 0.0000 0.0000 1
Br1 0.2279 0.2279 0.4557 1
Br2 0.2279 0.7721 0.0000 1
Br3 0.2521 0.2521 0.0000 1
Br4 0.7479 0.7479 0.0000 1
Br5 0.7721 0.2279 0.0000 1
Br6 0.7721 0.7721 0.5443 1
# Uncorrected energy (eV per atom): -3.65
# Magnetization (μB per formula unit): 2.002

=====

(4)
# PBE-GGA NaZn2, relaxed
data_NaZn2
_chemical_formula_sum 'Na2 Zn4'
_symmetry_space_group_name_H-M 'P 1'
_symmetry_Int_Tables_number 1
_symmetry_space_group_name_Hall 'P 1'
_cell_length_a 5.2913
_cell_length_b 5.2913
_cell_length_c 4.6379
_cell_angle_alpha 90.00
_cell_angle_beta 90.00
_cell_angle_gamma 120.00
loop_
_atom_site_label
_atom_site_fract_x
_atom_site_fract_y
_atom_site_fract_z
_atom_site_occupancy
Na1 0.3333 0.6667 0.0000 1
Na2 0.6667 0.3333 0.0000 1
Zn1 0.0000 0.0000 0.0000 1
Zn2 0.0000 0.2955 0.5000 1
Zn3 0.2955 0.0000 0.5000 1
Zn4 0.7045 0.7045 0.5000 1
# Uncorrected energy (eV per atom): -1.17

=====

(5)
# PBE-GGA PuNbAg, relaxed
data_PuNbAg
_chemical_formula_sum 'Pu4 Nb4 Ag4'
_symmetry_space_group_name_H-M 'P 1'
_symmetry_Int_Tables_number 1
_symmetry_space_group_name_Hall 'P 1'
_cell_length_a 6.4291
_cell_length_b 6.4291
_cell_length_c 6.4291
_cell_angle_alpha 90.00
_cell_angle_beta 90.00
_cell_angle_gamma 90.00
loop_
_atom_site_label
_atom_site_fract_x
_atom_site_fract_y
_atom_site_fract_z
_atom_site_occupancy
Pu1 0.0000 0.0000 0.0000 1
Pu2 0.0000 0.5000 0.5000 1
Pu3 0.5000 0.0000 0.5000 1
Pu4 0.5000 0.5000 0.0000 1
Nb1 0.2500 0.2500 0.7500 1
Nb2 0.2500 0.7500 0.2500 1
Nb3 0.7500 0.2500 0.2500 1
Nb4 0.7500 0.7500 0.7500 1
Ag1 0.2500 0.2500 0.2500 1
Ag2 0.2500 0.7500 0.7500 1
Ag3 0.7500 0.2500 0.7500 1
Ag4 0.7500 0.7500 0.2500 1
# ΔH_f (0 K) (meV/atom): 1055
# Magnetization (μB per formula unit): 4.662
# Excess energy over the best structure of this formula in the dataset (meV/atom): 220

=====

(6)
# PBE-GGA RbAgPbSe2S, relaxed
data_RbAgPbSe2S
_chemical_formula_sum 'Rb2 Ag2 Pb2 Se4 S2'
_symmetry_space_group_name_H-M 'P 1'
_symmetry_Int_Tables_number 1
_symmetry_space_group_name_Hall 'P 1'
_cell_length_a 6.7697
_cell_length_b 6.7697
_cell_length_c 11.6850
_cell_angle_alpha 90.00
_cell_angle_beta 90.00
_cell_angle_gamma 141.90
loop_
_atom_site_label
_atom_site_fract_x
_atom_site_fract_y
_atom_site_fract_z
_atom_site_occupancy
Rb1 0.2089 0.7911 0.7500 1
Rb2 0.7911 0.2089 0.2500 1
Ag1 0.0809 0.9191 0.2500 1
Ag2 0.9191 0.0809 0.7500 1
Pb1 0.5000 0.5000 0.0000 1
Pb2 0.5000 0.5000 0.5000 1
Se1 0.1582 0.8418 0.0368 1
Se2 0.1582 0.8418 0.4632 1
Se3 0.8418 0.1582 0.5368 1
Se4 0.8418 0.1582 0.9632 1
S1 0.4872 0.5128 0.2500 1
S2 0.5128 0.4872 0.7500 1
# Uncorrected energy (eV per atom): -3.52